BaTlCrBi2 (GGA-PBE, relaxed); crystal system = tetragonal; energy relative to the elements = 0.73 eV/atom
1.0
5.9866 0.0000 0.0000
0.0000 5.9866 0.0000
0.0000 0.0000 5.0959
Ba Tl Cr Bi
1 1 1 2
Direct
0.0000 0.0000 0.0000 Ba
0.5000 0.5000 0.5000 Tl
0.5000 0.5000 0.0000 Cr
0.0000 0.5000 0.5000 Bi
0.5000 0.0000 0.5000 Bi